A plane-wave DFT calculation with GGA-PBE was carried out for a relaxed structure of KFe2Se. Values from VASP.

Geometry as Quantum ESPRESSO input:
```
&SYSTEM
  ibrav = 0, nat = 4, ntyp = 3
/
ATOMIC_SPECIES
Fe 55.84 Fe.upf
K 39.10 K.upf
Se 78.96 Se.upf
CELL_PARAMETERS angstrom
-1.661 -2.791 2.325
1.983 -3.028 -2.220
3.709 0.259 2.960
ATOMIC_POSITIONS crystal
Fe 0.000 0.000 0.000
Fe 0.500 0.500 0.000
K 0.500 0.000 0.500
Se 0.000 0.500 0.500
```

M_tot: 6.3 μB per formula unit
Energy relative to the elements, uncorrected: 798 meV/atom
DFT total energy: -18.3 eV per cell
Space group: Pmmm, No. 47